1.
The following is a DFT calculation (PBE-GGA) of crystalline Tm2MgSc5 at its relaxed geometry.

Cell lengths 6.457, 6.457, 6.457 Å; angles 112.28, 108.09, 108.09 degrees
Fractional coordinates of all 8 atoms:
Mg 0.000 0.806 0.806
Sc 0.549 0.303 0.303
Sc 0.451 0.754 0.754
Sc 0.000 0.233 0.233
Tm 0.500 0.284 0.784
Tm 0.500 0.784 0.284
Sc 0.000 0.303 0.754
Sc 0.000 0.754 0.303

Values from the calculation:
**Final energy**: -5.179 eV per atom
**Crystal system**: tetragonal
**Theoretical density**: 4.7 g/cm3
**V**: 206.8 Å³/cell
**Formation energy from the elements**: 0.8 eV per formula unit


2.
The following is a DFT calculation (PBE-GGA) of crystalline TmMg5Sc at its relaxed geometry.

Cell lengths 5.700, 5.700, 6.480 Å; angles 100.59, 100.59, 115.08 degrees
Fractional coordinates of all 7 atoms:
Mg 0.910 0.483 0.232
Tm 0.000 0.000 0.000
Mg 0.483 0.910 0.232
Sc 0.500 0.500 0.500
Mg 0.090 0.517 0.768
Mg 0.000 0.000 0.500
Mg 0.517 0.090 0.768

Values from the calculation:
**Final energy**: -2.555 eV per atom
**Crystal system**: monoclinic
**Theoretical density**: 3.1 g/cm3
**V**: 179.2 Å³/cell
**Formation energy from the elements**: 0.9 eV per formula unit


3.
The following is a DFT calculation (PBE-GGA) of crystalline TmMgSc3 at its relaxed geometry.

Cell lengths 5.304, 6.565, 7.932 Å; angles 90.00, 109.53, 90.00 degrees
Fractional coordinates of all 10 atoms:
Sc 0.690 0.501 0.381
Sc 0.126 0.750 0.253
Mg 0.496 0.250 0.991
Sc 0.310 0.499 0.619
Mg 0.504 0.750 0.009
Sc 0.690 0.999 0.381
Tm 0.883 0.750 0.767
Sc 0.310 0.001 0.619
Sc 0.874 0.250 0.747
Tm 0.117 0.250 0.233

Values from the calculation:
**Final energy**: -4.954 eV per atom
**Crystal system**: orthorhombic
**Theoretical density**: 4.2 g/cm3
**V**: 260.3 Å³/cell
**E above lowest polymorph**: 0.00 kcal/mol of atoms
**Formation energy from the elements**: 0.3 eV per formula unit


4.
The following is a DFT calculation (PBE-GGA) of crystalline Tm2Mg3Sc7 at its relaxed geometry.

Cell lengths 3.318, 5.253, 17.652 Å; angles 98.56, 90.00, 90.00 degrees
Fractional coordinates of all 12 atoms:
Sc 0.000 0.769 0.537
Sc 0.500 0.069 0.137
Sc 0.000 0.000 0.000
Sc 0.000 0.588 0.176
Sc 0.000 0.412 0.824
Mg 0.500 0.500 0.000
Mg 0.500 0.688 0.377
Mg 0.500 0.312 0.623
Sc 0.500 0.931 0.863
Tm 0.000 0.146 0.292
Sc 0.000 0.231 0.463
Tm 0.000 0.854 0.708

Values from the calculation:
**Final energy**: -4.679 eV per atom
**Crystal system**: orthorhombic
**Theoretical density**: 4.0 g/cm3
**V**: 304.2 Å³/cell
**Formation energy from the elements**: 1.9 eV per formula unit


5.
The following is a DFT calculation (PBE-GGA) of crystalline TmMg5Sc2 at its relaxed geometry.

Cell lengths 5.120, 5.120, 8.105 Å; angles 108.41, 108.41, 90.00 degrees
Fractional coordinates of all 8 atoms:
Mg 0.873 0.373 0.745
Mg 0.127 0.627 0.255
Sc 0.746 0.746 0.492
Mg 0.627 0.127 0.255
Mg 0.373 0.873 0.745
Tm 0.000 0.000 0.000
Sc 0.254 0.254 0.508
Mg 0.500 0.500 0.000

Values from the calculation:
**Final energy**: -3.178 eV per atom
**Crystal system**: tetragonal
**Theoretical density**: 3.3 g/cm3
**V**: 190.1 Å³/cell
**E above lowest polymorph**: 0.00 kcal/mol of atoms
**Formation energy from the elements**: -0.3 eV per formula unit


6.
The following is a DFT calculation (PBE-GGA) of crystalline TmMgSc at its relaxed geometry.

Cell lengths 3.433, 3.433, 7.036 Å; angles 104.12, 104.12, 90.00 degrees
Fractional coordinates of all 3 atoms:
Tm 0.999 0.999 0.998
Mg 0.672 0.672 0.345
Sc 0.328 0.328 0.657

Values from the calculation:
**Final energy**: -4.151 eV per atom
**Crystal system**: tetragonal
**Theoretical density**: 5.1 g/cm3
**V**: 77.8 Å³/cell
**E above lowest polymorph**: 0.00 kcal/mol of atoms
**Formation energy from the elements**: -0.1 eV per formula unit


7.
The following is a DFT calculation (PBE-GGA) of crystalline Y2Tm2Mg5Sc at its relaxed geometry.

Cell lengths 4.904, 10.517, 10.517 Å; angles 90.00, 90.00, 90.00 degrees
Fractional coordinates of all 20 atoms:
Y 0.000 0.178 0.322
Tm 0.000 0.119 0.619
Y 0.000 0.322 0.822
Mg 0.500 0.067 0.806
Tm 0.000 0.619 0.881
Mg 0.500 0.306 0.567
Y 0.000 0.678 0.178
Mg 0.500 0.694 0.433
Mg 0.500 0.194 0.067
Mg 0.500 0.500 0.000
Sc 0.000 0.000 0.000
Tm 0.000 0.881 0.381
Sc 0.000 0.500 0.500
Mg 0.500 0.000 0.500
Mg 0.500 0.806 0.933
Mg 0.500 0.433 0.306
Tm 0.000 0.381 0.119
Mg 0.500 0.933 0.194
Mg 0.500 0.567 0.694
Y 0.000 0.822 0.678

Values from the calculation:
**Final energy**: -3.515 eV per atom
**Crystal system**: tetragonal
**Theoretical density**: 4.2 g/cm3
**V**: 542.5 Å³/cell
**Formation energy from the elements**: 1.0 eV per formula unit


8.
The following is a DFT calculation (PBE-GGA) of crystalline YTmMgSc at its relaxed geometry.

Cell lengths 3.541, 3.543, 8.820 Å; angles 90.01, 90.01, 89.99 degrees
Fractional coordinates of all 4 atoms:
Mg 0.608 0.930 0.337
Tm 0.108 0.430 0.090
Sc 0.608 0.929 0.844
Y 0.108 0.430 0.590

Values from the calculation:
**Final energy**: -4.732 eV per atom
**Crystal system**: tetragonal
**Theoretical density**: 4.9 g/cm3
**V**: 110.7 Å³/cell
**E above lowest polymorph**: 0.00 kcal/mol of atoms
**Formation energy from the elements**: -0.1 eV per formula unit


9.
The following is a DFT calculation (PBE-GGA) of crystalline YTm2Mg2Sc2 at its relaxed geometry.

Cell lengths 5.269, 5.269, 8.291 Å; angles 71.47, 71.47, 60.00 degrees
Fractional coordinates of all 7 atoms:
Sc 0.571 0.571 0.287
Sc 0.429 0.429 0.713
Y 0.000 0.000 0.000
Mg 0.290 0.290 0.131
Tm 0.154 0.154 0.537
Tm 0.846 0.846 0.463
Mg 0.710 0.710 0.869

Values from the calculation:
**Final energy**: -4.460 eV per atom
**Crystal system**: trigonal
**Theoretical density**: 5.1 g/cm3
**V**: 185.4 Å³/cell
**Formation energy from the elements**: 0.0 eV per formula unit


10.
The following is a DFT calculation (PBE-GGA) of crystalline YTmMgSc at its relaxed geometry.

Cell lengths 5.362, 5.362, 5.362 Å; angles 60.00, 60.00, 60.00 degrees
Fractional coordinates of all 4 atoms:
Mg 0.500 0.500 0.500
Tm 0.250 0.250 0.250
Sc 0.000 0.000 0.000
Y 0.750 0.750 0.750

Values from the calculation:
**Final energy**: -4.684 eV per atom
**Crystal system**: cubic
**Theoretical density**: 5.0 g/cm3
**V**: 109.0 Å³/cell
**E above lowest polymorph**: 1.11 kcal/mol of atoms
**Formation energy from the elements**: 0.1 eV per formula unit


11.
The following is a DFT calculation (PBE-GGA) of crystalline Y4Tm2MgSc at its relaxed geometry.

Cell lengths 4.961, 4.956, 10.858 Å; angles 62.76, 90.00, 90.00 degrees
Fractional coordinates of all 8 atoms:
Y 0.500 0.253 0.748
Y 0.500 0.747 0.252
Y 0.000 0.753 0.748
Y 0.000 0.247 0.252
Tm 0.500 0.000 0.500
Tm 0.000 0.000 0.000
Mg 0.500 0.500 0.000
Sc 0.000 0.500 0.500

Values from the calculation:
**Final energy**: -5.308 eV per atom
**Crystal system**: monoclinic
**Theoretical density**: 5.3 g/cm3
**V**: 237.3 Å³/cell
**Formation energy from the elements**: 0.3 eV per formula unit


12.
The following is a DFT calculation (PBE-GGA) of crystalline TmMgSc2Zn4 at its relaxed geometry.

Cell lengths 4.759, 4.759, 8.338 Å; angles 73.42, 73.42, 60.00 degrees
Fractional coordinates of all 8 atoms:
Sc 0.754 0.754 0.739
Zn 0.376 0.376 0.872
Zn 0.624 0.624 0.128
Tm 0.000 0.000 0.000
Sc 0.246 0.246 0.261
Zn 0.125 0.125 0.624
Zn 0.875 0.875 0.376
Mg 0.500 0.500 0.500

Values from the calculation:
**Final energy**: -3.289 eV per atom
**Crystal system**: trigonal
**Theoretical density**: 5.9 g/cm3
**V**: 154.4 Å³/cell
**Formation energy from the elements**: -2.5 eV per formula unit


13.
The following is a DFT calculation (PBE-GGA) of crystalline TmMgScZn at its relaxed geometry.

Cell lengths 3.442, 3.442, 7.644 Å; angles 90.00, 90.00, 90.00 degrees
Fractional coordinates of all 4 atoms:
Sc 0.500 0.500 0.352
Tm 0.500 0.500 0.793
Zn 0.000 0.000 0.554
Mg 0.000 0.000 0.086

Values from the calculation:
**Final energy**: -3.619 eV per atom
**Crystal system**: tetragonal
**Theoretical density**: 5.6 g/cm3
**V**: 90.5 Å³/cell
**E above lowest polymorph**: 0.00 kcal/mol of atoms
**Formation energy from the elements**: -0.8 eV per formula unit


14.
The following is a DFT calculation (PBE-GGA) of crystalline TmMgScZn at its relaxed geometry.

Cell lengths 5.013, 5.013, 5.013 Å; angles 60.00, 60.00, 60.00 degrees
Fractional coordinates of all 4 atoms:
Tm 0.750 0.750 0.750
Sc 0.250 0.250 0.250
Zn 0.000 0.000 0.000
Mg 0.500 0.500 0.500

Values from the calculation:
**Final energy**: -3.583 eV per atom
**Crystal system**: cubic
**Theoretical density**: 5.7 g/cm3
**V**: 89.1 Å³/cell
**E above lowest polymorph**: 0.83 kcal/mol of atoms
**Formation energy from the elements**: -0.7 eV per formula unit


15.
The following is a DFT calculation (PBE-GGA) of crystalline TmMgZrSc at its relaxed geometry.

Cell lengths 5.199, 5.199, 5.199 Å; angles 60.00, 60.00, 60.00 degrees
Fractional coordinates of all 4 atoms:
Zr 0.250 0.250 0.250
Mg 0.750 0.750 0.750
Tm 0.500 0.500 0.500
Sc 0.000 0.000 0.000

Values from the calculation:
**Final energy**: -5.107 eV per atom
**Crystal system**: cubic
**Theoretical density**: 5.5 g/cm3
**V**: 99.4 Å³/cell
**E above lowest polymorph**: 3.74 kcal/mol of atoms
**Formation energy from the elements**: 0.5 eV per formula unit


16.
The following is a DFT calculation (PBE-GGA) of crystalline TmMgZrSc at its relaxed geometry.

Cell lengths 3.331, 3.331, 9.037 Å; angles 90.00, 90.00, 90.00 degrees
Fractional coordinates of all 4 atoms:
Tm 0.000 0.000 0.565
Zr 0.500 0.500 0.312
Mg 0.500 0.500 0.831
Sc 0.000 0.000 0.076

Values from the calculation:
**Final energy**: -5.270 eV per atom
**Crystal system**: tetragonal
**Theoretical density**: 5.5 g/cm3
**V**: 100.3 Å³/cell
**E above lowest polymorph**: 0.00 kcal/mol of atoms
**Formation energy from the elements**: -0.1 eV per formula unit


17.
The following is a DFT calculation (PBE-GGA) of crystalline Tm2MgZrSc4 at its relaxed geometry.

Cell lengths 3.321, 5.703, 10.916 Å; angles 79.22, 90.00, 90.00 degrees
Fractional coordinates of all 8 atoms:
Sc 0.000 0.743 0.750
Tm 0.500 0.000 0.500
Zr 0.000 0.500 0.500
Mg 0.500 0.500 0.000
Sc 0.500 0.749 0.259
Sc 0.000 0.257 0.250
Tm 0.000 0.000 0.000
Sc 0.500 0.251 0.741

Values from the calculation:
**Final energy**: -5.506 eV per atom
**Crystal system**: monoclinic
**Theoretical density**: 5.2 g/cm3
**V**: 203.1 Å³/cell
**Formation energy from the elements**: 0.4 eV per formula unit


18.
The following is a DFT calculation (PBE-GGA) of crystalline MgScV3 at its relaxed geometry.

Cell lengths 4.592, 4.592, 4.592 Å; angles 90.00, 90.00, 90.00 degrees
Fractional coordinates of all 5 atoms:
Mg 0.500 0.500 0.500
V 0.000 0.500 0.000
V 0.500 0.000 0.000
V 0.000 0.000 0.500
Sc 0.000 0.000 0.000

Values from the calculation:
**Final energy**: -5.577 eV per atom
**Crystal system**: cubic
**Theoretical density**: 3.8 g/cm3
**V**: 96.8 Å³/cell
**E above lowest polymorph**: 0.00 kcal/mol of atoms
**Formation energy from the elements**: 7.4 eV per formula unit


19.
The following is a DFT calculation (PBE-GGA) of crystalline MgScV3 at its relaxed geometry.

Cell lengths 4.669, 4.669, 4.669 Å; angles 90.00, 90.00, 90.00 degrees
Fractional coordinates of all 5 atoms:
Sc 0.500 0.500 0.500
V 0.500 0.000 0.000
V 0.000 0.500 0.000
V 0.000 0.000 0.500
Mg 0.000 0.000 0.000

Values from the calculation:
**Final energy**: -5.552 eV per atom
**Crystal system**: cubic
**Theoretical density**: 3.6 g/cm3
**V**: 101.8 Å³/cell
**E above lowest polymorph**: 0.58 kcal/mol of atoms
**Formation energy from the elements**: 7.5 eV per formula unit


20.
The following is a DFT calculation (PBE-GGA) of crystalline MgScV2 at its relaxed geometry.

Cell lengths 7.323, 7.323, 5.867 Å; angles 51.38, 51.38, 90.00 degrees
Fractional coordinates of all 8 atoms:
V 0.875 0.867 0.750
V 0.133 0.625 0.250
Sc 0.000 0.000 0.000
Sc 0.750 0.250 0.500
Mg 0.250 0.750 0.500
Mg 0.500 0.500 0.000
V 0.617 0.125 0.250
V 0.375 0.383 0.750

Values from the calculation:
**Final energy**: -5.722 eV per atom
**Crystal system**: tetragonal
**Theoretical density**: 3.8 g/cm3
**V**: 147.9 Å³/cell
**Formation energy from the elements**: 3.3 eV per formula unit